[1]
DFT (PBE) results for a geometry-optimized Sr2Sn2Ir structure.

Cell lengths 7.290, 7.290, 5.183 Å; angles 90.00, 90.00, 90.00 degrees
Atoms (fractional coordinates):
Sn: 0.644 0.144 0.000
Sn: 0.856 0.644 0.000
Sn: 0.356 0.856 0.000
Sn: 0.144 0.356 0.000
Sr: 0.326 0.174 0.500
Sr: 0.174 0.674 0.500
Sr: 0.674 0.826 0.500
Sr: 0.826 0.326 0.500
Ir: 0.000 0.000 0.000
Ir: 0.500 0.500 0.000

Energy relative to the elements: -0.4101 eV per atom
Space-group type: No. 127
Excess energy over the best structure of this formula in the dataset: 0.163 eV per atom

---

[2]
DFT (PBE) results for a geometry-optimized SrSnIr structure.

Cell lengths 4.550, 4.538, 4.538 Å; angles 120.00, 90.00, 90.00 degrees
Atoms (fractional coordinates):
Sn: 0.167 0.667 0.333
Sr: 0.667 0.333 0.667
Ir: 0.166 0.000 0.000

Energy relative to the elements: -0.3767 eV per atom
Space-group type: No. 187